Below is ZrGa3Ag after structural relaxation, with properties calculated at the PBE level.

Structure (POSCAR):
```
ZrGa3Ag
1.0
4.833 0.000 0.000
0.000 4.833 0.000
0.000 0.000 4.833
Zr Ga Ag
1 3 1
Cartesian
0.000 0.000 0.000
0.000 2.417 2.417
2.417 0.000 2.417
2.417 2.417 0.000
2.417 2.417 2.417
```

Output
energy relative to the elements: 255.9 kJ/mol of formula units
total energy: -3.566 eV per atom
Fermi-level density of states: 3.2 states/eV/cell

Below is SrLaZn2 after structural relaxation, with properties calculated at the PBE level.

Structure (POSCAR):
```
SrLaZn2
1.0
3.808 0.000 0.000
0.000 5.425 0.000
0.000 0.000 5.424
Sr La Zn
1 1 2
Cartesian
0.000 0.000 0.000
0.000 2.713 2.710
1.904 0.000 2.713
1.904 2.713 5.417
```

Output
energy relative to the elements: -91.5 kJ/mol of formula units
total energy: -2.526 eV per atom
Fermi-level density of states: 3.1 states/eV/cell

- Among the records above, which one has the lowest energy relative to the elements?
  SrLaZn2

Please write out number 1 again, unchanged.
Below is ZrGa3Ag after structural relaxation, with properties calculated at the PBE level.

Structure (POSCAR):
```
ZrGa3Ag
1.0
4.833 0.000 0.000
0.000 4.833 0.000
0.000 0.000 4.833
Zr Ga Ag
1 3 1
Cartesian
0.000 0.000 0.000
0.000 2.417 2.417
2.417 0.000 2.417
2.417 2.417 0.000
2.417 2.417 2.417
```

Output
energy relative to the elements: 255.9 kJ/mol of formula units
total energy: -3.566 eV per atom
Fermi-level density of states: 3.2 states/eV/cell